# AlInWO6

Crystalline AlInWO6 at its relaxed geometry (PBE+U, the Alexandria database).

a b c (Å): 5.0615 5.0615 9.3058
angles (deg): 90.00 90.00 120.00
Sites, in units of the cell vectors:
Al (0.6667, 0.3333, 0.2500)
Al (0.3333, 0.6667, 0.7500)
In (0.0000, 0.0000, 0.0000)
In (0.0000, 0.0000, 0.5000)
W (0.3333, 0.6667, 0.2500)
W (0.6667, 0.3333, 0.7500)
O (0.6437, 0.6392, 0.1375)
O (0.9954, 0.3563, 0.1375)
O (0.3563, 0.9954, 0.6375)
O (0.0046, 0.6437, 0.8625)
O (0.3608, 0.3563, 0.3625)
O (0.9954, 0.6392, 0.3625)
O (0.6392, 0.9954, 0.8625)
O (0.6437, 0.0046, 0.3625)
O (0.0046, 0.3608, 0.6375)
O (0.3608, 0.0046, 0.1375)
O (0.6392, 0.6437, 0.6375)
O (0.3563, 0.3608, 0.8625)

- space-group type = No. 163
- electronic total energy (eV per formula unit) = -62.731
- magnetization (μB per cell) = 0.00